No. 1
Pm2ZrN2: optimized geometry, PBE.

Computed properties:
Space group   P-3m1 (164)
Total moment   0.02 μB per cell
E_tot   -40.60 eV/f.u.
Crystal system   trigonal

abc: 3.470 3.470 8.727
angles: 90.00 90.00 120.00
Atoms (fractional coordinates):
Pm 0.333 0.667 0.195
Pm 0.667 0.333 0.805
Zr 0.000 0.000 0.500
N 0.333 0.667 0.643
N 0.667 0.333 0.357

No. 2
PaNiIr: optimized geometry, PBE.

Computed properties:
ΔH_f (0 K)   -133 kJ/mol of formula units
Space group   F-43m (216)
Total moment   0.00 μB per cell
E_tot   -25.30 eV/f.u.
ΔE to the lowest computed polymorph   0.0000 eV per atom
Crystal system   cubic

abc: 4.286 4.286 4.286
angles: 60.00 60.00 60.00
Atoms (fractional coordinates):
Pa 0.000 0.000 0.000
Ni 0.250 0.250 0.250
Ir 0.500 0.500 0.500

No. 3
Li4Cu2SnGe: optimized geometry, PBE.

Computed properties:
Space group   P-4m2 (115)
E_tot   -26.27 eV/f.u.
Crystal system   tetragonal

abc: 4.303 4.303 6.161
angles: 90.00 90.00 90.00
Atoms (fractional coordinates):
Li 0.000 0.000 0.000
Li 0.000 0.500 0.230
Li 0.500 0.000 0.770
Li 0.500 0.500 0.500
Cu 0.000 0.500 0.770
Cu 0.500 0.000 0.230
Sn 0.000 0.000 0.500
Ge 0.500 0.500 0.000